Entry 1:
A geometry-optimized ZnCrCu structure. Source: Alexandria via LeMat-Bulk, functional PBE-GGA.

a b c (Å): 4.247 4.247 2.529
angles (deg): 90.00 90.00 120.00
Site moments in Bohr magnetons follow the coordinates.
Sites, in units of the cell vectors:
Cu 0.667 0.333 0.494  0.10
Zn 0.333 0.667 0.506  0.00
Cr 0.000 0.000 0.000  2.22

The value obtained for the total magnetization is 0.82 μB per atom. For the energy relative to the elements, the calculation gives 0.75 eV per formula unit. The value obtained for the total energy is -14.25 eV/f.u. As for the symmetry: P3m1, No. 156.



Entry 2:
A geometry-optimized ZnCrCu3 structure. Source: Alexandria via LeMat-Bulk, functional PBE-GGA.

a b c (Å): 4.575 4.575 4.575
angles (deg): 90.00 90.00 90.00
Site moments in Bohr magnetons follow the coordinates.
Sites, in units of the cell vectors:
Cu 0.500 0.000 0.000  0.10
Cu 0.000 0.500 0.000  0.17
Cr 0.000 0.000 0.000  3.39
Cu 0.000 0.000 0.500  0.24
Zn 0.500 0.500 0.500  0.02

The value obtained for the total magnetization is 0.85 μB per atom. The calculation puts the excess energy over the best structure of this formula in the dataset at 0.0 meV per atom. For the energy relative to the elements, the calculation gives 6.09 eV per formula unit. The value obtained for the total energy is -17.10 eV/f.u. As for the symmetry: Pm-3m, No. 221.



Entry 3:
A geometry-optimized ZrCr2Cu structure. Source: Alexandria via LeMat-Bulk, functional PBE-GGA.

a b c (Å): 3.834 2.731 5.835
angles (deg): 72.84 90.00 90.00
Sites, in units of the cell vectors:
Cu 0.000 0.480 0.470
Cr 0.000 0.038 0.049
Zr 0.500 0.791 0.755
Cr 0.500 0.190 0.227

The value obtained for the total magnetization is 0.00 μB per atom. The calculation puts the excess energy over the best structure of this formula in the dataset at 123.3 meV per atom. For the energy relative to the elements, the calculation gives 1.01 eV per formula unit. The value obtained for the total energy is -30.88 eV/f.u. As for the symmetry: Pm, No. 6.



Entry 4:
A geometry-optimized ZrCr2Cu structure. Source: Alexandria via LeMat-Bulk, functional PBE-GGA.

a b c (Å): 5.039 5.039 5.039
angles (deg): 142.27 131.20 63.29
Sites, in units of the cell vectors:
Cr 0.999 0.999 0.000
Cu 0.750 0.250 0.500
Zr 0.250 0.750 0.500
Cr 0.501 0.501 0.000

The value obtained for the total magnetization is 0.00 μB per atom. The calculation puts the excess energy over the best structure of this formula in the dataset at 264.3 meV per atom. For the energy relative to the elements, the calculation gives 1.57 eV per formula unit. The value obtained for the total energy is -30.32 eV/f.u. As for the symmetry: Immm, No. 71.



Entry 5:
A geometry-optimized ZrCrCu2 structure. Source: Alexandria via LeMat-Bulk, functional PBE-GGA.

a b c (Å): 3.874 3.875 3.985
angles (deg): 90.00 90.00 90.00
Site moments in Bohr magnetons follow the coordinates.
Sites, in units of the cell vectors:
Cu 0.500 0.500 0.000  -0.03
Cr 0.000 0.500 0.500  2.38
Cu 0.000 0.000 0.000  -0.03
Zr 0.500 0.000 0.500  -0.32

The value obtained for the total magnetization is 0.50 μB per atom. The calculation puts the excess energy over the best structure of this formula in the dataset at 21.8 meV per atom. For the energy relative to the elements, the calculation gives 0.52 eV per formula unit. The value obtained for the total energy is -25.84 eV/f.u. As for the symmetry: P4/mmm, No. 123.



Entry 6:
A geometry-optimized Zr2Cr2Cu structure. Source: Alexandria via LeMat-Bulk, functional PBE-GGA.

a b c (Å): 6.474 6.474 4.002
angles (deg): 90.00 90.00 90.00
Sites, in units of the cell vectors:
Cr 0.111 0.389 0.000
Zr 0.317 0.183 0.500
Cu 0.000 0.000 0.000
Cr 0.611 0.111 0.000
Cr 0.389 0.889 0.000
Zr 0.817 0.317 0.500
Cr 0.889 0.611 0.000
Zr 0.183 0.683 0.500
Cu 0.500 0.500 0.000
Zr 0.683 0.817 0.500

The value obtained for the total magnetization is 0.00 μB per atom. For the energy relative to the elements, the calculation gives 0.86 eV per formula unit. The value obtained for the total energy is -39.57 eV/f.u. As for the symmetry: P4/mbm, No. 127.



Entry 7:
A geometry-optimized ZrCrCu4 structure. Source: Alexandria via LeMat-Bulk, functional PBE-GGA.

a b c (Å): 4.941 4.941 4.941
angles (deg): 60.00 60.00 60.00
Site moments in Bohr magnetons follow the coordinates.
Sites, in units of the cell vectors:
Zr 0.750 0.750 0.750  0.12
Cr 0.000 0.000 0.000  3.43
Cu 0.374 0.877 0.374  0.07
Cu 0.374 0.374 0.374  0.07
Cu 0.374 0.374 0.877  0.07
Cu 0.877 0.374 0.374  0.07

The value obtained for the total magnetization is 0.70 μB per atom. For the energy relative to the elements, the calculation gives -0.07 eV per formula unit. The value obtained for the total energy is -34.63 eV/f.u. As for the symmetry: F-43m, No. 216.



Entry 8:
A geometry-optimized ZrCrCu2 structure. Source: Alexandria via LeMat-Bulk, functional PBE-GGA.

a b c (Å): 8.836 8.836 8.836
angles (deg): 18.79 18.79 18.79
Site moments in Bohr magnetons follow the coordinates.
Sites, in units of the cell vectors:
Cr 0.743 0.743 0.743  2.56
Zr 0.501 0.501 0.501  0.05
Cu 0.258 0.258 0.258  0.01
Cu 0.998 0.998 0.998  0.07

The value obtained for the total magnetization is 0.74 μB per atom. The calculation puts the excess energy over the best structure of this formula in the dataset at 288.2 meV per atom. For the energy relative to the elements, the calculation gives 1.59 eV per formula unit. The value obtained for the total energy is -24.78 eV/f.u. As for the symmetry: R3m, No. 160.



Entry 9:
A geometry-optimized ZrCrCu2 structure. Source: Alexandria via LeMat-Bulk, functional PBE-GGA.

a b c (Å): 4.882 4.882 4.882
angles (deg): 133.15 133.07 68.48
Site moments in Bohr magnetons follow the coordinates.
Sites, in units of the cell vectors:
Cr 0.250 0.750 0.500  2.83
Cu 0.000 0.000 0.000  0.02
Zr 0.500 0.500 0.000  -0.10
Cu 0.750 0.250 0.500  0.03

The value obtained for the total magnetization is 0.72 μB per atom. The calculation puts the excess energy over the best structure of this formula in the dataset at 46.0 meV per atom. For the energy relative to the elements, the calculation gives 0.62 eV per formula unit. The value obtained for the total energy is -25.75 eV/f.u. As for the symmetry: I-4m2, No. 119.



Entry 10:
A geometry-optimized ZrCrCu2 structure. Source: Alexandria via LeMat-Bulk, functional PBE-GGA.

a b c (Å): 4.787 4.787 4.787
angles (deg): 131.33 131.34 71.28
Site moments in Bohr magnetons follow the coordinates.
Sites, in units of the cell vectors:
Zr 0.750 0.250 0.500  -0.14
Cu 0.000 0.000 0.000  0.05
Cr 0.250 0.750 0.500  2.74
Cu 0.500 0.500 0.000  0.05

The value obtained for the total magnetization is 0.72 μB per atom. The calculation puts the excess energy over the best structure of this formula in the dataset at 0.0 meV per atom. For the energy relative to the elements, the calculation gives 0.43 eV per formula unit. The value obtained for the total energy is -25.93 eV/f.u. As for the symmetry: I4/mmm, No. 139.



Entry 11:
A geometry-optimized ZrCr2Cu structure. Source: Alexandria via LeMat-Bulk, functional PBE-GGA.

a b c (Å): 8.630 8.630 8.630
angles (deg): 19.13 19.13 19.13
Sites, in units of the cell vectors:
Zr 0.750 0.750 0.750
Cr 0.256 0.256 0.256
Cr 0.983 0.983 0.983
Cu 0.510 0.510 0.510

The value obtained for the total magnetization is 0.00 μB per atom. The calculation puts the excess energy over the best structure of this formula in the dataset at 273.2 meV per atom. For the energy relative to the elements, the calculation gives 1.61 eV per formula unit. The value obtained for the total energy is -30.28 eV/f.u. As for the symmetry: R3m, No. 160.



Entry 12:
A geometry-optimized ZrCrCu2 structure. Source: Alexandria via LeMat-Bulk, functional PBE-GGA.

a b c (Å): 4.460 4.460 4.460
angles (deg): 60.00 60.00 60.00
Site moments in Bohr magnetons follow the coordinates.
Sites, in units of the cell vectors:
Cu 0.750 0.750 0.750  0.08
Cu 0.250 0.250 0.250  0.08
Cr 0.000 0.000 0.000  3.38
Zr 0.500 0.500 0.500  0.03

The value obtained for the total magnetization is 0.99 μB per atom. The calculation puts the excess energy over the best structure of this formula in the dataset at 5.6 meV per atom. For the energy relative to the elements, the calculation gives 0.46 eV per formula unit. The value obtained for the total energy is -25.91 eV/f.u. As for the symmetry: Fm-3m, No. 225.



Entry 13:
A geometry-optimized ZrCr3Cu structure. Source: Alexandria via LeMat-Bulk, functional PBE-GGA.

a b c (Å): 4.489 4.489 4.489
angles (deg): 90.00 90.00 90.00
Sites, in units of the cell vectors:
Cr 0.500 0.000 0.000
Cr 0.000 0.000 0.500
Zr 0.000 0.000 0.000
Cu 0.500 0.500 0.500
Cr 0.000 0.500 0.000

The value obtained for the total magnetization is 0.00 μB per atom. The calculation puts the excess energy over the best structure of this formula in the dataset at 1079.4 meV per atom. For the energy relative to the elements, the calculation gives 10.91 eV per formula unit. The value obtained for the total energy is -30.61 eV/f.u. As for the symmetry: Pm-3m, No. 221.



Entry 14:
A geometry-optimized ZrCrCu2 structure. Source: Alexandria via LeMat-Bulk, functional PBE-GGA.

a b c (Å): 3.719 3.719 9.757
angles (deg): 79.02 79.02 90.00
Site moments in Bohr magnetons follow the coordinates.
Sites, in units of the cell vectors:
Cu 0.875 0.844 0.750  0.03
Cr 0.250 0.750 0.500  2.51
Zr 0.000 0.000 0.000  -0.23
Cu 0.156 0.625 0.250  0.03
Zr 0.750 0.250 0.500  -0.23
Cu 0.375 0.406 0.750  0.03
Cr 0.500 0.500 0.000  2.50
Cu 0.594 0.125 0.250  0.03

The value obtained for the total magnetization is 0.61 μB per atom. The calculation puts the excess energy over the best structure of this formula in the dataset at 418.1 meV per atom. For the energy relative to the elements, the calculation gives 2.11 eV per formula unit. The value obtained for the total energy is -24.26 eV/f.u. As for the symmetry: I-42d, No. 122.



Entry 15:
A geometry-optimized ZrCrCu2 structure. Source: Alexandria via LeMat-Bulk, functional PBE-GGA.

a b c (Å): 3.459 2.915 6.789
angles (deg): 64.49 90.00 90.00
Site moments in Bohr magnetons follow the coordinates.
Sites, in units of the cell vectors:
Zr 0.500 0.250 0.250  -0.03
Cu 0.000 0.033 0.966  0.07
Cr 0.500 0.750 0.750  3.07
Cu 0.000 0.467 0.534  0.07

The value obtained for the total magnetization is 0.85 μB per atom. The calculation puts the excess energy over the best structure of this formula in the dataset at 56.6 meV per atom. For the energy relative to the elements, the calculation gives 0.66 eV per formula unit. The value obtained for the total energy is -25.70 eV/f.u. As for the symmetry: P2/m, No. 10.



Entry 16:
A geometry-optimized ZrCrCu2 structure. Source: Alexandria via LeMat-Bulk, functional PBE-GGA.

a b c (Å): 4.428 4.428 4.428
angles (deg): 60.00 60.00 60.00
Site moments in Bohr magnetons follow the coordinates.
Sites, in units of the cell vectors:
Zr 0.250 0.250 0.250  0.20
Cu 0.750 0.750 0.750  0.13
Cu 0.000 0.000 0.000  0.09
Cr 0.500 0.500 0.500  3.31

The value obtained for the total magnetization is 0.99 μB per atom. The calculation puts the excess energy over the best structure of this formula in the dataset at 75.8 meV per atom. For the energy relative to the elements, the calculation gives 0.74 eV per formula unit. The value obtained for the total energy is -25.63 eV/f.u. As for the symmetry: F-43m, No. 216.



Entry 17:
A geometry-optimized ZrCr2Cu structure. Source: Alexandria via LeMat-Bulk, functional PBE-GGA.

a b c (Å): 4.431 4.431 4.431
angles (deg): 120.25 120.22 89.60
Site moments in Bohr magnetons follow the coordinates.
Sites, in units of the cell vectors:
Cr 0.000 0.000 0.000  -2.20
Cr 0.750 0.250 0.500  2.92
Cu 0.500 0.500 0.000  0.01
Zr 0.250 0.750 0.500  -0.10

The value obtained for the total magnetization is 0.20 μB per atom. The calculation puts the excess energy over the best structure of this formula in the dataset at 52.5 meV per atom. For the energy relative to the elements, the calculation gives 0.73 eV per formula unit. The value obtained for the total energy is -31.16 eV/f.u. As for the symmetry: I-4m2, No. 119.



Entry 18:
A geometry-optimized ZrCr2Cu structure. Source: Alexandria via LeMat-Bulk, functional PBE-GGA.

a b c (Å): 4.528 2.912 4.569
angles (deg): 84.75 90.00 90.00
Sites, in units of the cell vectors:
Cr 0.000 0.420 0.526
Zr 0.500 0.750 0.750
Cu 0.500 0.250 0.250
Cr 0.000 0.080 0.974

The value obtained for the total magnetization is 0.00 μB per atom. The calculation puts the excess energy over the best structure of this formula in the dataset at 286.8 meV per atom. For the energy relative to the elements, the calculation gives 1.66 eV per formula unit. The value obtained for the total energy is -30.23 eV/f.u. As for the symmetry: P2/m, No. 10.



Entry 19:
A geometry-optimized ZrCr2Cu2 structure. Source: Alexandria via LeMat-Bulk, functional PBE-GGA.

a b c (Å): 3.466 3.466 6.478
angles (deg): 74.48 74.48 90.00
Sites, in units of the cell vectors:
Cr 0.250 0.750 0.500
Zr 0.000 0.000 0.000
Cu 0.401 0.401 0.199
Cr 0.750 0.250 0.500
Cu 0.599 0.599 0.801

The value obtained for the total magnetization is 0.00 μB per atom. The calculation puts the excess energy over the best structure of this formula in the dataset at 0.0 meV per atom. For the energy relative to the elements, the calculation gives 1.32 eV per formula unit. The value obtained for the total energy is -34.67 eV/f.u. As for the symmetry: I4/mmm, No. 139.



Entry 20:
A geometry-optimized ZrCr2Cu structure. Source: Alexandria via LeMat-Bulk, functional PBE-GGA.

a b c (Å): 5.196 5.196 2.628
angles (deg): 79.03 79.03 119.21
Sites, in units of the cell vectors:
Zr 0.000 0.500 0.500
Cu 0.500 0.000 0.500
Cr 0.500 0.500 0.000
Cr 0.000 0.000 0.000

The value obtained for the total magnetization is 0.00 μB per atom. The calculation puts the excess energy over the best structure of this formula in the dataset at 289.4 meV per atom. For the energy relative to the elements, the calculation gives 1.67 eV per formula unit. The value obtained for the total energy is -30.22 eV/f.u. As for the symmetry: C2/m, No. 12.